(1)
A plane-wave DFT calculation with PBE was carried out for crystalline AlMoIr2 at its relaxed geometry.

```
4
Lattice="-2.150 -1.039 -1.562 3.045 -1.626 -3.109 0.233 -3.871 2.253" Properties=species:S:1:pos:R:3 pbc="T T T"
Al 1.639 -2.748 -0.428
Ir 0.447 -1.332 -2.336
Ir 0.000 0.000 0.000
Mo -0.959 -2.455 0.345
```

Values from the calculation:
ΔE to the lowest computed polymorph = 43.5 kJ per mole of atoms
E_form = -161 meV/atom


(2)
A plane-wave DFT calculation with PBE was carried out for crystalline HoCu3Ni2 at its relaxed geometry.

```
12
Lattice="-4.881 -2.059 1.515 -0.534 -2.525 4.868 -3.320 4.081 4.871" Properties=species:S:1:pos:R:3 pbc="T T T"
Cu -4.930 -2.023 6.111
Cu -4.680 -0.837 3.825
Cu -4.055 0.334 7.429
Cu -3.804 1.519 5.143
Cu -2.638 -1.056 5.399
Cu -6.096 0.552 5.855
Ho -6.431 -0.821 8.224
Ho -2.303 0.317 3.030
Ni -2.707 -2.292 3.192
Ni -0.267 -1.263 2.434
Ni -2.441 -1.030 0.757
Ni 0.000 0.000 0.000
```

Values from the calculation:
E_form = -13 meV/atom


(3)
A plane-wave DFT calculation with PBE was carried out for crystalline MgNiPb2 at its relaxed geometry.

```
4
Lattice="7.022 1.605 -0.111 3.829 6.101 0.111 -4.876 -4.626 2.591" Properties=species:S:1:pos:R:3 pbc="T T T"
Mg 3.785 0.416 1.240
Pb 4.554 3.235 0.000
Pb 0.871 0.619 0.000
Ni 2.189 2.664 1.351
```

Values from the calculation:
E_form = 61 meV/atom


(4)
A plane-wave DFT calculation with PBE was carried out for crystalline Mn6NiOs at its relaxed geometry.

```
8
Lattice="-2.042 -1.117 -2.804 0.846 -4.873 1.324 -4.163 0.139 2.977" Properties=species:S:1:pos:R:3 pbc="T T T"
Os -2.679 -2.925 0.749
Mn -2.501 -3.570 3.244
Mn -0.816 -1.164 1.058
Mn -3.103 -0.489 0.087
Mn -2.950 -1.075 2.577
Mn -0.598 -2.995 -0.740
Mn -0.367 -3.659 1.725
Ni -1.021 -0.558 -1.402
```

Values from the calculation:
E_form = -21 meV/atom


(5)
A plane-wave DFT calculation with PBE was carried out for crystalline Pu2ThSn at its relaxed geometry.

```
4
Lattice="4.092 0.000 0.000 0.000 4.092 0.000 0.000 0.000 6.572" Properties=species:S:1:pos:R:3 pbc="T T T"
Th 2.046 2.046 3.286
Pu 0.000 0.000 1.503
Pu 0.000 0.000 5.069
Sn 2.046 2.046 0.000
```

Values from the calculation:
ΔE to the lowest computed polymorph = 11.1 kJ per mole of atoms
E_form = -151 meV/atom


(6)
A plane-wave DFT calculation with PBE was carried out for crystalline Pm4Tl2Ga at its relaxed geometry.

```
7
Lattice="5.105 0.000 1.595 2.303 4.556 1.595 -0.086 -0.053 9.243" Properties=species:S:1:pos:R:3 pbc="T T T"
Tl 5.519 3.394 9.235
Tl 1.802 1.108 3.198
Ga 0.000 0.000 0.000
Pm 4.624 2.843 3.135
Pm 0.855 0.526 6.232
Pm 6.467 3.977 6.202
Pm 2.698 1.659 9.298
```

Values from the calculation:
ΔE to the lowest computed polymorph = 0.0 kJ per mole of atoms
E_form = -274 meV/atom


(7)
A plane-wave DFT calculation with PBE was carried out for crystalline SrEu2Ni at its relaxed geometry.

```
4
Lattice="-0.262 2.292 2.881 -3.455 0.844 -0.986 -3.408 -7.420 5.592" Properties=species:S:1:pos:R:3 pbc="T T T"
Ni -1.859 1.568 0.948
Eu -0.569 -1.240 0.934
Eu -2.839 -6.180 4.657
Sr -3.563 -2.142 3.743
```

Values from the calculation:
ΔE to the lowest computed polymorph = 3.2 kJ per mole of atoms
E_form = 11 meV/atom


(8)
A plane-wave DFT calculation with PBE was carried out for crystalline La2Sm2Y5 at its relaxed geometry.

```
9
Lattice="3.450 0.000 -0.712 -0.488 8.087 -2.364 0.726 -3.033 12.239" Properties=species:S:1:pos:R:3 pbc="T T T"
Y 2.243 5.726 2.155
Y 1.446 -0.672 7.008
Y 3.430 1.940 7.909
Y 0.259 3.114 1.254
Y 0.000 0.000 0.000
Sm 1.591 5.652 -1.007
Sm 2.098 -0.598 10.170
La 0.786 0.680 3.813
La 2.902 4.374 5.351
```

Values from the calculation:
ΔE to the lowest computed polymorph = 2.1 kJ per mole of atoms
E_form = 227 meV/atom


(9)
A plane-wave DFT calculation with PBE was carried out for crystalline Li3SnRu at its relaxed geometry.

```
5
Lattice="4.832 0.000 0.000 0.000 4.832 0.000 0.000 0.000 4.832" Properties=species:S:1:pos:R:3 pbc="T T T"
Li 0.000 0.000 2.416
Li 0.000 2.416 0.000
Li 2.416 0.000 0.000
Sn 0.000 0.000 0.000
Ru 2.416 2.416 2.416
```

Values from the calculation:
E_form = 942 meV/atom


(10)
A plane-wave DFT calculation with PBE was carried out for crystalline LaMn2 at its relaxed geometry.

```
12
Lattice="-4.756 2.697 2.090 -0.576 -3.402 3.080 5.221 4.554 6.006" Properties=species:S:1:pos:R:3 pbc="T T T"
La 3.806 3.660 6.490
La -3.917 0.189 4.685
La 0.010 0.191 5.421
La -0.121 3.658 5.754
Mn -1.375 3.349 8.651
Mn 1.264 0.500 2.524
Mn 1.800 5.080 7.684
Mn -1.489 1.521 3.138
Mn 2.236 2.038 4.405
Mn -2.347 1.811 6.770
Mn -1.911 -1.231 3.491
Mn 1.378 2.328 8.038
```

Values from the calculation:
E_form = 456 meV/atom


(11)
A plane-wave DFT calculation with PBE was carried out for crystalline Cd2WSe at its relaxed geometry.

```
8
Lattice="9.567 0.000 0.000 0.000 9.567 0.000 4.784 4.784 2.379" Properties=species:S:1:pos:R:3 pbc="T T T"
Se 4.784 4.784 0.000
Se 4.784 9.567 1.189
W 9.567 4.784 1.189
W 0.000 0.000 0.000
Cd 1.331 7.175 0.595
Cd 8.236 2.392 0.595
Cd 11.959 13.020 1.784
Cd 7.175 6.115 1.784
```

Values from the calculation:
Uncorrected formation energy = 0.6863 eV per atom


(12)
A plane-wave DFT calculation with PBE was carried out for crystalline TbGa4PdRh2 at its relaxed geometry.

```
8
Lattice="-3.941 -1.359 0.920 -0.927 -1.347 3.943 -3.862 7.082 3.822" Properties=species:S:1:pos:R:3 pbc="T T T"
Rh -2.291 1.478 2.277
Rh -6.440 2.897 6.408
Tb 0.000 0.000 0.000
Pd -4.365 2.188 4.342
Ga -5.053 4.639 5.018
Ga -3.678 -0.263 3.667
Ga -2.997 3.998 2.972
Ga -5.734 0.377 5.713
```

Values from the calculation:
E_form = -660 meV/atom


It is found that the uncorrected energy values, taken in the order of the records, are -8.2353 -4.7510 -3.6368 -9.0243 -10.1725 -4.0976 -6.9920 -5.5076 -2.8625 -7.2996 -3.8806 -5.2390 eV per atom.